AlTl2Se: relaxed, PBE.

The structure in POSCAR format:
```
AlTl2Se
1.0
6.622 0.000 0.000
0.000 6.622 0.000
3.311 3.311 6.297
Tl Al Se
4 2 2
Direct
0.613 0.125 0.250
0.137 0.625 0.250
0.375 0.387 0.750
0.875 0.863 0.750
0.250 0.750 0.500
0.500 0.500 0.000
0.750 0.250 0.500
0.000 0.000 0.000
```

Calculated values
symmetry: I-42d (122)
spin magnetization: 0.000 μB/atom
formation energy from raw total energies: 0.48 eV per formula unit